Density functional theory data (GGA-PBEsol) for crystalline GeHSe2 at its relaxed geometry.

CIF file:
```
data_GeHSe2
_chemical_formula_sum 'Ge4 H4 Se8'
_cell_length_a 6.366
_cell_length_b 6.366
_cell_length_c 6.366
_cell_angle_alpha 90.00
_cell_angle_beta 90.00
_cell_angle_gamma 90.00
_space_group_name_H-M_alt 'P 1'
_space_group_IT_number 1
_space_group_name_Hall 'P 1'
loop_
_atom_site_label
_atom_site_fract_x
_atom_site_fract_y
_atom_site_fract_z
Ge1 0.000 0.000 0.000
Ge2 0.000 0.500 0.500
Ge3 0.500 0.000 0.500
Ge4 0.500 0.500 0.000
H1 0.000 0.000 0.500
H2 0.000 0.500 0.000
H3 0.500 0.000 0.000
H4 0.500 0.500 0.500
Se1 0.250 0.250 0.250
Se2 0.250 0.250 0.750
Se3 0.250 0.750 0.250
Se4 0.250 0.750 0.750
Se5 0.750 0.250 0.250
Se6 0.750 0.250 0.750
Se7 0.750 0.750 0.250
Se8 0.750 0.750 0.750
```

Summary:
Excess energy over the best structure of this formula in the dataset (eV per atom): 0.5298
Crystal system: cubic
VASP energy (hartree per atom): -0.127
Space-group type: Fm-3m

Density functional theory data (GGA-PBEsol) for crystalline NaLi3S at its relaxed geometry.

CIF file:
```
data_NaLi3S
_chemical_formula_sum 'Na1 Li3 S1'
_cell_length_a 4.768
_cell_length_b 4.768
_cell_length_c 4.768
_cell_angle_alpha 90.00
_cell_angle_beta 90.00
_cell_angle_gamma 90.00
_space_group_name_H-M_alt 'P 1'
_space_group_IT_number 1
_space_group_name_Hall 'P 1'
loop_
_atom_site_label
_atom_site_fract_x
_atom_site_fract_y
_atom_site_fract_z
Na1 0.000 0.000 0.000
Li1 0.000 0.500 0.500
Li2 0.500 0.000 0.500
Li3 0.500 0.500 0.000
S1 0.500 0.500 0.500
```

Summary:
Crystal system: cubic
VASP energy (hartree per atom): -0.109
Space-group type: Pm-3m
Formation energy without anion corrections (eV/atom): -0.62

Density functional theory data (GGA-PBEsol) for crystalline Ta3AgIr at its relaxed geometry.

CIF file:
```
data_Ta3AgIr
_chemical_formula_sum 'Ta3 Ag1 Ir1'
_cell_length_a 4.794
_cell_length_b 4.794
_cell_length_c 4.794
_cell_angle_alpha 90.00
_cell_angle_beta 90.00
_cell_angle_gamma 90.00
_space_group_name_H-M_alt 'P 1'
_space_group_IT_number 1
_space_group_name_Hall 'P 1'
loop_
_atom_site_label
_atom_site_fract_x
_atom_site_fract_y
_atom_site_fract_z
Ta1 0.000 0.000 0.500
Ta2 0.000 0.500 0.000
Ta3 0.500 0.000 0.000
Ag1 0.500 0.500 0.500
Ir1 0.000 0.000 0.000
```

Summary:
Crystal system: cubic
VASP energy (hartree per atom): -0.330
Space-group type: Pm-3m
Formation energy from the elements (eV/atom): 1.186

Density functional theory data (GGA-PBEsol) for crystalline La2MgHg at its relaxed geometry.

CIF file:
```
data_La2MgHg
_chemical_formula_sum 'La4 Mg2 Hg2'
_cell_length_a 4.917
_cell_length_b 3.616
_cell_length_c 12.752
_cell_angle_alpha 90.00
_cell_angle_beta 90.00
_cell_angle_gamma 90.00
_space_group_name_H-M_alt 'P 1'
_space_group_IT_number 1
_space_group_name_Hall 'P 1'
loop_
_atom_site_label
_atom_site_fract_x
_atom_site_fract_y
_atom_site_fract_z
La1 0.000 0.000 0.000
La2 0.000 0.500 0.500
La3 0.500 0.000 0.333
La4 0.500 0.500 0.833
Mg1 0.000 0.000 0.726
Mg2 0.000 0.500 0.226
Hg1 0.500 0.000 0.602
Hg2 0.500 0.500 0.102
```

Summary:
Excess energy over the best structure of this formula in the dataset (eV per atom): 0.0322
Crystal system: orthorhombic
VASP energy (hartree per atom): -0.130
Space-group type: Amm2
Formation energy from the elements (eV/atom): -0.288

Density functional theory data (GGA-PBEsol) for crystalline Ca2TaZn at its relaxed geometry.

CIF file:
```
data_Ca2TaZn
_chemical_formula_sum 'Ca8 Ta4 Zn4'
_cell_length_a 7.101
_cell_length_b 7.101
_cell_length_c 7.101
_cell_angle_alpha 90.00
_cell_angle_beta 90.00
_cell_angle_gamma 90.00
_space_group_name_H-M_alt 'P 1'
_space_group_IT_number 1
_space_group_name_Hall 'P 1'
loop_
_atom_site_label
_atom_site_fract_x
_atom_site_fract_y
_atom_site_fract_z
Ca1 0.000 0.000 0.000
Ca2 0.000 0.500 0.500
Ca3 0.250 0.250 0.250
Ca4 0.250 0.750 0.750
Ca5 0.500 0.000 0.500
Ca6 0.500 0.500 0.000
Ca7 0.750 0.250 0.750
Ca8 0.750 0.750 0.250
Ta1 0.000 0.000 0.500
Ta2 0.000 0.500 0.000
Ta3 0.500 0.000 0.000
Ta4 0.500 0.500 0.500
Zn1 0.250 0.250 0.750
Zn2 0.250 0.750 0.250
Zn3 0.750 0.250 0.250
Zn4 0.750 0.750 0.750
```

Summary:
Crystal system: cubic
VASP energy (hartree per atom): -0.143
Space-group type: F-43m
Formation energy from the elements (eV/atom): 0.705

Density functional theory data (GGA-PBEsol) for crystalline SrLiY2 at its relaxed geometry.

CIF file:
```
data_SrLiY2
_chemical_formula_sum 'Sr2 Li2 Y4'
_cell_length_a 3.723
_cell_length_b 5.686
_cell_length_c 12.069
_cell_angle_alpha 90.00
_cell_angle_beta 90.00
_cell_angle_gamma 90.00
_space_group_name_H-M_alt 'P 1'
_space_group_IT_number 1
_space_group_name_Hall 'P 1'
loop_
_atom_site_label
_atom_site_fract_x
_atom_site_fract_y
_atom_site_fract_z
Sr1 0.000 0.000 0.000
Sr2 0.500 0.500 0.500
Li1 0.000 0.000 0.500
Li2 0.500 0.500 0.000
Y1 0.000 0.500 0.224
Y2 0.000 0.500 0.776
Y3 0.500 0.000 0.276
Y4 0.500 0.000 0.724
```

Summary:
Excess energy over the best structure of this formula in the dataset (eV per atom): 0.0000
Crystal system: orthorhombic
VASP energy (hartree per atom): -0.154
Space-group type: Immm
Formation energy from the elements (eV/atom): 0.165

Density functional theory data (GGA-PBEsol) for crystalline CdSiPb3 at its relaxed geometry.

CIF file:
```
data_CdSiPb3
_chemical_formula_sum 'Cd1 Si1 Pb3'
_cell_length_a 5.482
_cell_length_b 5.482
_cell_length_c 5.482
_cell_angle_alpha 90.00
_cell_angle_beta 90.00
_cell_angle_gamma 90.00
_space_group_name_H-M_alt 'P 1'
_space_group_IT_number 1
_space_group_name_Hall 'P 1'
loop_
_atom_site_label
_atom_site_fract_x
_atom_site_fract_y
_atom_site_fract_z
Cd1 0.000 0.000 0.000
Si1 0.500 0.500 0.500
Pb1 0.000 0.000 0.500
Pb2 0.000 0.500 0.000
Pb3 0.500 0.000 0.000
```

Summary:
Crystal system: cubic
VASP energy (hartree per atom): -0.106
Space-group type: Pm-3m
Formation energy without anion corrections (eV/atom): 0.90

Density functional theory data (GGA-PBEsol) for crystalline Hf3NiBr at its relaxed geometry.

CIF file:
```
data_Hf3NiBr
_chemical_formula_sum 'Hf3 Ni1 Br1'
_cell_length_a 4.781
_cell_length_b 4.781
_cell_length_c 4.781
_cell_angle_alpha 90.00
_cell_angle_beta 90.00
_cell_angle_gamma 90.00
_space_group_name_H-M_alt 'P 1'
_space_group_IT_number 1
_space_group_name_Hall 'P 1'
loop_
_atom_site_label
_atom_site_fract_x
_atom_site_fract_y
_atom_site_fract_z
Hf1 0.000 0.000 0.500
Hf2 0.000 0.500 0.000
Hf3 0.500 0.000 0.000
Ni1 0.500 0.500 0.500
Br1 0.000 0.000 0.000
```

Summary:
Crystal system: cubic
VASP energy (hartree per atom): -0.257
Space-group type: Pm-3m
Formation energy without anion corrections (eV/atom): 0.91

In the order shown, the computed volume values come out to 258.0; 108.4; 110.2; 226.8; 358.1; 255.5; 164.7; 109.3 Å³/cell.
In the order shown, the computed total magnetization values come out to 0.000; 0.000; 0.000; 0.000; 0.171; 0.001; 0.000; 0.000 μB per atom.